A plane-wave DFT calculation with PBE-GGA was carried out for a relaxed CuAgHO2 crystal.

As for the space group: P2/c, No. 13. The calculation puts the final energy at -4.52 eV per atom.

Unit cell a=5.529 b=4.802 c=5.826 alpha=90.00 beta=117.26 gamma=90.00
Sites, in units of the cell vectors:
Cu 0.000 0.001 0.250
Cu 0.000 0.999 0.750
Ag 0.500 0.265 0.750
Ag 0.500 0.735 0.250
H 0.000 0.500 0.000
H 0.000 0.500 0.500
O 0.075 0.261 0.533
O 0.075 0.739 0.033
O 0.925 0.261 0.967
O 0.925 0.739 0.467

---

A plane-wave DFT calculation with PBE-GGA was carried out for a relaxed Rb8AgAu2S crystal.

For the energy relative to the elements, uncorrected, the calculation gives -27.9 kJ per mole of atoms. As for the space group: P-1, No. 2.

Unit cell a=8.128 b=8.216 c=10.367 alpha=90.02 beta=90.06 gamma=90.48
Sites, in units of the cell vectors:
Rb 0.215 0.170 0.224
Rb 0.215 0.170 0.776
Rb 0.259 0.699 0.000
Rb 0.275 0.657 0.500
Rb 0.725 0.343 0.500
Rb 0.741 0.301 0.000
Rb 0.785 0.830 0.224
Rb 0.785 0.830 0.776
Ag 0.000 0.000 0.500
Au 0.500 0.500 0.242
Au 0.500 0.500 0.758
S 0.000 0.000 0.000

---

A plane-wave DFT calculation with PBE-GGA was carried out for a relaxed LaCr2Re crystal.

The formation energy is 892.9 meV/atom. As for the space group: P4/mmm, No. 123.

Unit cell a=4.207 b=4.207 c=4.275 alpha=90.00 beta=90.00 gamma=90.00
Sites, in units of the cell vectors:
La 0.000 0.000 0.000
Cr 0.000 0.500 0.500
Cr 0.500 0.000 0.500
Re 0.500 0.500 0.000

---

A plane-wave DFT calculation with PBE-GGA was carried out for a relaxed Ca2LaAl crystal.

The formation energy is 14.0 meV/atom. As for the space group: Pmmm, No. 47.

Unit cell a=3.557 b=5.075 c=7.006 alpha=90.00 beta=90.00 gamma=90.00
Sites, in units of the cell vectors:
Ca 0.000 0.000 0.226
Ca 0.000 0.000 0.774
La 0.500 0.500 0.500
Al 0.500 0.500 0.000

---

A plane-wave DFT calculation with PBE-GGA was carried out for a relaxed Ba4RhI2Cl crystal.

For the energy relative to the elements, uncorrected, the calculation gives -117.6 kJ per mole of atoms. As for the space group: P2/m, No. 10.

Unit cell a=8.338 b=4.579 c=8.886 alpha=90.00 beta=104.82 gamma=90.00
Sites, in units of the cell vectors:
Ba 0.218 0.000 0.200
Ba 0.231 0.500 0.792
Ba 0.769 0.500 0.208
Ba 0.782 0.000 0.800
Rh 0.000 0.500 0.000
I 0.000 0.000 0.500
I 0.500 0.500 0.500
Cl 0.500 0.000 0.000

---

A plane-wave DFT calculation with PBE-GGA was carried out for a relaxed Nd3Ho2Tm4 crystal.

The formation energy is 104.4 meV/atom. As for the space group: C2/c, No. 15.

Unit cell a=10.122 b=10.122 c=6.017 alpha=96.31 beta=96.31 gamma=70.07
Sites, in units of the cell vectors:
Nd 0.108 0.892 0.750
Nd 0.227 0.440 0.915
Nd 0.440 0.227 0.415
Nd 0.560 0.773 0.585
Nd 0.773 0.560 0.085
Nd 0.892 0.108 0.250
Ho 0.014 0.751 0.189
Ho 0.249 0.986 0.311
Ho 0.751 0.014 0.689
Ho 0.986 0.249 0.811
Tm 0.085 0.351 0.353
Tm 0.318 0.582 0.479
Tm 0.351 0.085 0.853
Tm 0.418 0.682 0.021
Tm 0.582 0.318 0.979
Tm 0.649 0.915 0.147
Tm 0.682 0.418 0.521
Tm 0.915 0.649 0.647

---

A plane-wave DFT calculation with PBE-GGA was carried out for a relaxed Zr6CuRh2 crystal.

The formation energy is -283.4 meV/atom. As for the space group: P2_1/c, No. 14.

Unit cell a=5.760 b=7.268 c=10.302 alpha=90.00 beta=121.35 gamma=90.00
Sites, in units of the cell vectors:
Zr 0.062 0.062 0.244
Zr 0.062 0.438 0.744
Zr 0.217 0.733 0.072
Zr 0.217 0.767 0.572
Zr 0.386 0.147 0.047
Zr 0.386 0.353 0.547
Zr 0.614 0.647 0.453
Zr 0.614 0.853 0.953
Zr 0.783 0.233 0.428
Zr 0.783 0.267 0.928
Zr 0.938 0.562 0.256
Zr 0.938 0.938 0.756
Cu 0.500 0.000 0.500
Cu 0.500 0.500 0.000
Rh 0.310 0.095 0.705
Rh 0.310 0.405 0.205
Rh 0.690 0.595 0.795
Rh 0.690 0.905 0.295

---

A plane-wave DFT calculation with PBE-GGA was carried out for a relaxed PuP2Ru crystal.

The formation energy is -586.5 meV/atom. As for the space group: Imm2, No. 44.

Unit cell a=6.723 b=6.723 c=6.723 alpha=152.91 beta=148.31 gamma=42.17
Sites, in units of the cell vectors:
Pu 0.000 0.000 0.000
P 0.361 0.361 0.000
P 0.622 0.622 0.000
Ru 0.756 0.256 0.500